# Mn2As

Crystalline Mn2As at its relaxed geometry (PBE-GGA, Alexandria).

Output
ΔE_f ... -3.484 kcal/mol of atoms
Energy ... -7.814 eV per atom

Lattice parameters (Å, degrees): 6.385 6.385 3.450 90.00 90.00 120.00
Atoms (fractional coordinates):
Mn 0.000 0.259 0.000
Mn 0.000 0.600 0.500
Mn 0.259 0.000 0.000
Mn 0.400 0.400 0.500
Mn 0.600 0.000 0.500
Mn 0.741 0.741 0.000
As 0.000 0.000 0.500
As 0.333 0.667 0.000
As 0.667 0.333 0.000